VASP calculation (PBE) on a relaxed structure of Rb2BiI4.

Summary:
Total DFT energy (no corrections), eV/cell: -37.1
Volume, Å³/cell: 750
Excess energy over the best structure of this formula in the dataset, eV per atom: 0.014

Lattice parameters (Å, degrees): 6.4025 6.4025 18.2901 90.00 90.00 90.00
Space group I4/mmm (No. 139)
Unique sites:
Rb1 0.0000 0.0000 0.1310 [4 per cell]
Bi1 0.0000 0.0000 0.5000 [2 per cell]
I1 0.0000 0.0000 0.3297 [4 per cell]
I2 0.0000 0.5000 0.0000 [4 per cell]